1.
The following is a DFT calculation (PBE) of Mg3Rh after structural relaxation.

Cell: 5.2330 5.2330 5.2330 Å, 90.00 90.00 90.00°
Sites, in units of the cell vectors:
Mg 0.5000 0.0000 0.2500
Mg 0.0000 0.2500 0.5000
Mg 0.2500 0.5000 0.0000
Mg 0.5000 0.0000 0.7500
Mg 0.7500 0.5000 0.0000
Mg 0.0000 0.7500 0.5000
Rh 0.5000 0.5000 0.5000
Rh 0.0000 0.0000 0.0000

Summary:
Its space group is Pm-3n, No. 223. The calculated formation energy comes out at -220 meV per atom. The total energy comes out at -3.254 eV per atom. The crystal system is cubic.

2.
The following is a DFT calculation (PBE) of Na3SnB after structural relaxation.

Cell: 5.8303 5.8303 5.8303 Å, 90.00 90.00 90.00°
Sites, in units of the cell vectors:
Sn 0.0000 0.0000 0.0000
Na 0.0000 0.5000 0.0000
Na 0.5000 0.0000 0.0000
Na 0.0000 0.0000 0.5000
B 0.5000 0.5000 0.5000

Summary:
Its space group is Pm-3m, No. 221. The calculated formation energy comes out at 1151 meV per atom. The total energy comes out at -1.777 eV per atom. The value obtained for the offset from the most stable computed form is 415.4 meV/atom. The crystal system is cubic.

3.
The following is a DFT calculation (PBE) of Co2MoAu after structural relaxation.

Cell: 3.4638 3.9446 3.9446 Å, 90.00 90.00 90.00°
Sites, in units of the cell vectors:
Co 0.0000 0.5000 0.5000
Co 0.0000 0.0000 0.0000
Mo 0.5000 0.5000 0.0000
Au 0.5000 0.0000 0.5000

Summary:
Its space group is P4/mmm, No. 123. The calculated formation energy comes out at 284 meV per atom. The total energy comes out at -6.796 eV per atom. The crystal system is tetragonal.

4.
The following is a DFT calculation (PBE) of NaYSi2O6 after structural relaxation.

Cell: 7.0706 7.0706 5.4648 Å, 102.24 102.24 86.63°
Sites, in units of the cell vectors:
O 0.2978 0.4543 0.3384
O 0.9071 0.3712 0.1794
O 0.0929 0.6288 0.8206
O 0.3712 0.9071 0.6794
O 0.1470 0.1611 0.4681
O 0.1611 0.1470 0.9681
O 0.8389 0.8530 0.0319
O 0.8530 0.8389 0.5319
O 0.6288 0.0929 0.3206
O 0.4543 0.2978 0.8384
O 0.5457 0.7022 0.1616
O 0.7022 0.5457 0.6616
Y 0.3859 0.6141 0.7500
Y 0.6141 0.3859 0.2500
Na 0.1858 0.8142 0.2500
Na 0.8142 0.1858 0.7500
Si 0.1268 0.2924 0.2414
Si 0.8732 0.7076 0.7586
Si 0.7076 0.8732 0.2586
Si 0.2924 0.1268 0.7414

Summary:
Its space group is C2/c, No. 15. As for the energy relative to the elements, uncorrected: -2897.0 meV per atom. The total energy comes out at -7.735 eV per atom. The value obtained for the offset from the most stable computed form is 12.3 meV/atom. The crystal system is monoclinic.

5.
The following is a DFT calculation (PBE) of ThGeRu2 after structural relaxation.

Cell: 3.6949 4.4150 4.4150 Å, 90.00 90.00 90.00°
Sites, in units of the cell vectors:
Ru 0.0000 0.5000 0.0000
Ru 0.0000 0.0000 0.5000
Th 0.5000 0.0000 0.0000
Ge 0.5000 0.5000 0.5000

Summary:
Its space group is P4/mmm, No. 123. The calculated formation energy comes out at -390 meV per atom. The total energy comes out at -8.038 eV per atom. The crystal system is tetragonal.

6.
The following is a DFT calculation (PBE) of La2Zn2Cu after structural relaxation.

Cell: 6.9146 6.9146 4.8670 Å, 90.00 90.00 90.00°
Sites, in units of the cell vectors:
Cu 0.5000 0.5000 0.0000
Cu 0.0000 0.0000 0.0000
La 0.6683 0.8317 0.5000
La 0.8317 0.3317 0.5000
La 0.3317 0.1683 0.5000
La 0.1683 0.6683 0.5000
Zn 0.3638 0.8638 0.0000
Zn 0.1362 0.3638 0.0000
Zn 0.6362 0.1362 0.0000
Zn 0.8638 0.6362 0.0000

Summary:
Its space group is P4/mbm, No. 127. The calculated formation energy comes out at -174 meV per atom. The total energy comes out at -3.474 eV per atom. The value obtained for the offset from the most stable computed form is 102.2 meV/atom. The crystal system is tetragonal.

7.
The following is a DFT calculation (PBE) of HfRe2Ir after structural relaxation.

Cell: 7.4690 7.4690 5.8754 Å, 50.53 50.53 90.00°
Sites, in units of the cell vectors:
Re 0.6543 0.1250 0.2500
Re 0.3750 0.3457 0.7500
Re 0.0957 0.6250 0.2500
Re 0.8750 0.9043 0.7500
Ir 0.7500 0.2500 0.5000
Ir 0.0000 0.0000 0.0000
Hf 0.2500 0.7500 0.5000
Hf 0.5000 0.5000 0.0000

Summary:
Its space group is I-42d, No. 122. The calculated formation energy comes out at 468 meV per atom. The total energy comes out at -10.460 eV per atom. The value obtained for the offset from the most stable computed form is 303.9 meV/atom. The crystal system is tetragonal.

8.
The following is a DFT calculation (PBE) of K2MgHIr after structural relaxation.

Cell: 4.6054 5.1080 4.6054 Å, 90.00 90.00 90.00°
Sites, in units of the cell vectors:
H 0.0000 0.0000 0.0000
Mg 0.0000 0.5000 0.0000
K 0.0000 0.0000 0.5000
K 0.5000 0.0000 0.0000
Ir 0.5000 0.5000 0.5000

Summary:
Its space group is P4/mmm, No. 123. The total energy comes out at -2.612 eV per atom. The crystal system is tetragonal.

9.
The following is a DFT calculation (PBE) of MgMo2RuC after structural relaxation.

Cell: 4.6612 4.8841 4.6612 Å, 90.00 90.00 90.00°
Sites, in units of the cell vectors:
Ru 0.0000 0.0000 0.0000
Mo 0.5000 0.0000 0.0000
Mo 0.0000 0.0000 0.5000
C 0.5000 0.5000 0.5000
Mg 0.0000 0.5000 0.0000

Summary:
Its space group is P4/mmm, No. 123. The calculated formation energy comes out at 2374 meV per atom. The total energy comes out at -5.978 eV per atom. The crystal system is tetragonal.

10.
The following is a DFT calculation (PBE) of Sr2MgAg after structural relaxation.

Cell: 4.8876 4.6149 6.6934 Å, 69.72 90.00 90.00°
Sites, in units of the cell vectors:
Ag 0.0000 0.6871 0.5001
Mg 0.5000 0.5639 0.7477
Sr 0.0000 0.9790 0.9170
Sr 0.5000 0.2700 0.3351

Summary:
Its space group is Pm, No. 6. The calculated formation energy comes out at -167 meV per atom. The total energy comes out at -2.119 eV per atom. The crystal system is monoclinic.

11.
The following is a DFT calculation (PBE) of InFeRh after structural relaxation.

Cell: 4.9611 4.9611 4.9611 Å, 145.09 137.39 56.22°
Sites, in units of the cell vectors:
In 0.3336 0.3336 0.0000
Fe 0.0099 0.0099 0.0000
Rh 0.6565 0.6565 0.0000

Summary:
Its space group is Imm2, No. 44. The calculated formation energy comes out at -38 meV per atom. The total energy comes out at -6.222 eV per atom. The value obtained for the offset from the most stable computed form is 0.0 meV/atom. The crystal system is orthorhombic.

12.
The following is a DFT calculation (PBE) of PrGdHgAu after structural relaxation.

Cell: 5.3014 5.3014 5.3014 Å, 60.00 60.00 60.00°
Sites, in units of the cell vectors:
Pr 0.2500 0.2500 0.2500
Gd 0.7500 0.7500 0.7500
Hg 0.5000 0.5000 0.5000
Au 0.0000 0.0000 0.0000

Summary:
Its space group is F-43m, No. 216. The calculated formation energy comes out at -618 meV per atom. The total energy comes out at -6.227 eV per atom. The crystal system is cubic.

13.
The following is a DFT calculation (PBE) of AcLa2CeP4 after structural relaxation.

Cell: 4.2776 7.4070 7.4141 Å, 70.60 90.00 90.00°
Sites, in units of the cell vectors:
La 0.0000 0.0000 0.0000
La 0.5000 0.0000 0.5000
P 0.5000 0.2544 0.7390
P 0.0000 0.7520 0.7383
P 0.5000 0.7456 0.2610
P 0.0000 0.2480 0.2617
Ac 0.5000 0.5000 0.0000
Ce 0.0000 0.5000 0.5000

Summary:
Its space group is P2/m, No. 10. The calculated formation energy comes out at -1506 meV per atom. The total energy comes out at -6.698 eV per atom. The crystal system is monoclinic.

14.
The following is a DFT calculation (PBE) of PmEr8Tm6 after structural relaxation.

Cell: 8.9175 8.9175 8.5160 Å, 58.43 58.43 60.00°
Sites, in units of the cell vectors:
Er 0.7198 0.1101 0.4260
Er 0.5764 0.5764 0.2708
Er 0.8899 0.2560 0.5740
Er 0.2560 0.2802 0.5740
Er 0.2802 0.8899 0.5740
Er 0.1101 0.7440 0.4260
Er 0.4236 0.4236 0.7292
Er 0.7440 0.7198 0.4260
Tm 0.1094 0.2308 0.1213
Tm 0.5384 0.1094 0.1213
Tm 0.7692 0.4616 0.8787
Tm 0.2308 0.5384 0.1213
Tm 0.8906 0.7692 0.8787
Tm 0.4616 0.8906 0.8787
Pm 0.0000 0.0000 0.0000

Summary:
Its space group is R-3, No. 148. The calculated formation energy comes out at 139 meV per atom. The total energy comes out at -4.400 eV per atom. The value obtained for the offset from the most stable computed form is 0.0 meV/atom. The crystal system is trigonal.

15.
The following is a DFT calculation (PBE) of Cs2ZrPbS4 after structural relaxation.

Cell: 7.1676 8.3266 12.5673 Å, 82.95 73.43 64.51°
Sites, in units of the cell vectors:
S 0.5068 0.6858 0.3905
S 0.2432 0.8142 0.1095
S 0.8074 0.6858 0.6095
S 0.5831 0.3142 0.6095
S 0.1669 0.1858 0.8905
S 0.9426 0.8142 0.8905
S 0.6473 0.1858 0.1095
S 0.1027 0.3142 0.3905
Zr 0.7500 0.5000 0.5000
Zr 0.0000 0.0000 0.0000
Cs 0.8177 0.0000 0.3646
Cs 0.9323 0.5000 0.1354
Cs 0.1823 0.0000 0.6354
Cs 0.5677 0.5000 0.8646
Pb 0.5000 0.0000 0.0000
Pb 0.2500 0.5000 0.5000

Summary:
Its space group is Fddd, No. 70. As for the energy relative to the elements, uncorrected: -1173.2 meV per atom. The total energy comes out at -4.982 eV per atom. The crystal system is orthorhombic.

16.
The following is a DFT calculation (PBE) of CsHgAsAu after structural relaxation.

Cell: 4.7373 4.9028 6.6113 Å, 111.76 90.00 90.00°
Sites, in units of the cell vectors:
Au 0.5000 0.5605 0.1209
Cs 0.5000 0.2792 0.5585
As 0.0000 0.6179 0.2358
Hg 0.0000 0.9728 0.9456

Summary:
Its space group is Amm2, No. 38. The calculated formation energy comes out at -130 meV per atom. The total energy comes out at -2.401 eV per atom. The crystal system is orthorhombic.

17.
The following is a DFT calculation (PBE) of DyTiAu4 after structural relaxation.

Cell: 3.5945 3.5945 8.9144 Å, 90.00 90.00 90.00°
Sites, in units of the cell vectors:
Dy 0.5000 0.5000 0.5000
Ti 0.0000 0.0000 0.0000
Au 0.0000 0.0000 0.3209
Au 0.5000 0.5000 0.1558
Au 0.5000 0.5000 0.8442
Au 0.0000 0.0000 0.6791

Summary:
Its space group is P4/mmm, No. 123. The calculated formation energy comes out at -606 meV per atom. The total energy comes out at -4.874 eV per atom. The crystal system is tetragonal.

18.
The following is a DFT calculation (PBE) of CsMgTlCl4 after structural relaxation.

Cell: 7.4398 7.4962 9.5620 Å, 90.00 109.24 90.00°
Sites, in units of the cell vectors:
Mg 0.2304 0.7500 0.3096
Mg 0.7696 0.2500 0.6904
Cl 0.5794 0.2500 0.8438
Cl 0.9781 0.4955 0.7454
Cl 0.4205 0.7500 0.5594
Cl 0.5795 0.2500 0.4406
Cl 0.0219 0.9955 0.2546
Cl 0.9781 0.0045 0.7454
Cl 0.4206 0.7500 0.1562
Cl 0.0219 0.5045 0.2546
Tl 0.7917 0.7500 0.4625
Tl 0.2083 0.2500 0.5375
Cs 0.2883 0.2500 0.0683
Cs 0.7117 0.7500 0.9317

Summary:
Its space group is P2_1/m, No. 11. As for the energy relative to the elements, uncorrected: -1670.8 meV per atom. The total energy comes out at -3.414 eV per atom. The crystal system is monoclinic.

19.
The following is a DFT calculation (PBE) of YSiRu after structural relaxation.

Cell: 4.3085 7.0079 7.1777 Å, 90.00 90.00 90.00°
Sites, in units of the cell vectors:
Ru 0.7500 0.8459 0.5665
Ru 0.2500 0.6541 0.0665
Ru 0.7500 0.3459 0.9335
Ru 0.2500 0.1541 0.4335
Y 0.7500 0.0111 0.1864
Y 0.7500 0.5111 0.3136
Y 0.2500 0.4889 0.6864
Y 0.2500 0.9889 0.8136
Si 0.2500 0.3045 0.1057
Si 0.7500 0.6955 0.8943
Si 0.2500 0.8045 0.3943
Si 0.7500 0.1955 0.6057

Summary:
Its space group is Pnma, No. 62. As for the energy relative to the elements, uncorrected: -827.5 meV per atom. The total energy comes out at -7.882 eV per atom. The crystal system is orthorhombic.

20.
The following is a DFT calculation (PBE) of Al2SiBr after structural relaxation.

Cell: 3.0596 5.0654 4.9863 Å, 90.00 90.00 90.00°
Sites, in units of the cell vectors:
Br 0.5000 0.0000 0.5000
Al 0.5000 0.5000 0.0000
Al 0.0000 0.0000 0.0000
Si 0.0000 0.5000 0.5000

Summary:
Its space group is Pmmm, No. 47. As for the energy relative to the elements, uncorrected: 363.8 meV per atom. The total energy comes out at -3.281 eV per atom. The value obtained for the offset from the most stable computed form is 400.2 meV/atom. The crystal system is orthorhombic.

21.
The following is a DFT calculation (PBE) of CrSe2N2 after structural relaxation.

Cell: 4.2703 4.2703 3.8224 Å, 90.00 90.00 90.00°
Sites, in units of the cell vectors:
Se 0.0000 0.5000 0.0000
Se 0.5000 0.0000 0.0000
N 0.0000 0.0000 0.0000
N 0.0000 0.0000 0.5000
Cr 0.5000 0.5000 0.5000

Summary:
Its space group is P4/mmm, No. 123. As for the energy relative to the elements, uncorrected: 1451.3 meV per atom. The total energy comes out at -5.197 eV per atom. The value obtained for the offset from the most stable computed form is 1708.9 meV/atom. The crystal system is tetragonal.

22.
The following is a DFT calculation (PBE) of Mn2CdBr after structural relaxation.

Cell: 5.0483 5.0483 3.1879 Å, 90.00 90.00 106.55°
Sites, in units of the cell vectors:
Mn 0.0000 0.0000 0.0000
Mn 0.5000 0.5000 0.0000
Br 0.5000 0.0000 0.5000
Cd 0.0000 0.5000 0.5000

Summary:
Its space group is Cmmm, No. 65. As for the energy relative to the elements, uncorrected: 452.5 meV per atom. The total energy comes out at -4.779 eV per atom. The value obtained for the offset from the most stable computed form is 243.4 meV/atom. The crystal system is orthorhombic.

23.
The following is a DFT calculation (PBE) of VCuTeSe2 after structural relaxation.

Cell: 4.6947 4.6947 5.0769 Å, 90.00 90.00 90.00°
Sites, in units of the cell vectors:
Te 0.5000 0.5000 0.5000
Se 0.5000 0.0000 0.0000
Se 0.0000 0.5000 0.0000
Cu 0.0000 0.0000 0.5000
V 0.0000 0.0000 0.0000

Summary:
Its space group is P4/mmm, No. 123. As for the energy relative to the elements, uncorrected: 411.8 meV per atom. The total energy comes out at -4.253 eV per atom. The crystal system is tetragonal.

24.
The following is a DFT calculation (PBE) of RbY2TlIn after structural relaxation.

Cell: 5.8348 6.6822 5.8348 Å, 90.00 90.00 90.00°
Sites, in units of the cell vectors:
Tl 0.5000 0.5000 0.5000
Rb 0.0000 0.5000 0.0000
Y 0.5000 0.0000 0.0000
Y 0.0000 0.0000 0.5000
In 0.0000 0.0000 0.0000

Summary:
Its space group is P4/mmm, No. 123. The calculated formation energy comes out at 451 meV per atom. The total energy comes out at -3.349 eV per atom. The crystal system is tetragonal.

25.
The following is a DFT calculation (PBE) of Nd2CoAu after structural relaxation.

Cell: 3.5587 3.5587 7.4001 Å, 90.00 90.00 90.00°
Sites, in units of the cell vectors:
Co 0.5000 0.5000 0.0000
Nd 0.0000 0.0000 0.2315
Nd 0.0000 0.0000 0.7685
Au 0.5000 0.5000 0.5000

Summary:
Its space group is P4/mmm, No. 123. The calculated formation energy comes out at -350 meV per atom. The total energy comes out at -5.330 eV per atom. The crystal system is tetragonal.

26.
The following is a DFT calculation (PBE) of SrLuTh after structural relaxation.

Cell: 3.6270 3.6270 8.7072 Å, 102.02 102.02 90.00°
Sites, in units of the cell vectors:
Sr 0.0000 0.0000 0.0000
Lu 0.3183 0.3183 0.6365
Th 0.6817 0.6817 0.3635

Summary:
Its space group is I4mm, No. 107. The calculated formation energy comes out at 187 meV per atom. The total energy comes out at -4.353 eV per atom. The crystal system is tetragonal.